1.
Compound: SnPO2
Source: Alexandria
Functional: PBE
Structure: relaxed

- Crystal system: trigonal
- Uncorrected energy: -66.28 eV for the cell shown
- Calculated volume: 14.06 A^3/atom
- Distance to the lowest polymorph of the same formula: 0 meV/atom
- Spin magnetization: 0.00 μB per cell

a b c (Å): 3.0716 3.0716 20.6439
angles (deg): 90.00 90.00 120.00
Space group R-3m (No. 166, hexagonal axes)
Asymmetric unit:
Sn1 0.0000 0.0000 0.0000 (multiplicity 3)
P1 0.0000 0.0000 0.5000 (multiplicity 3)
O1 0.0000 0.0000 0.4217 (multiplicity 6)

***

2.
Compound: SnPO2
Source: Alexandria
Functional: PBE
Structure: relaxed

- Crystal system: cubic
- Uncorrected energy: -75.37 eV for the cell shown
- Calculated volume: 12.86 A^3/atom
- Distance to the lowest polymorph of the same formula: 813 meV/atom
- Spin magnetization: 0.00 μB per cell

a b c (Å): 5.9034 5.9034 5.9034
angles (deg): 90.00 90.00 90.00
Space group Fm-3m (No. 225)
Asymmetric unit:
Sn1 0.0000 0.0000 0.0000 (multiplicity 4)
P1 0.0000 0.0000 0.5000 (multiplicity 4)
O1 0.2500 0.2500 0.2500 (multiplicity 8)

***

Q: Which of these has the lowest distance to the lowest polymorph of the same formula?
A: number 1